Material: FeNiC
Method: DFT, GGA-PBE
State: optimized geometry

Values from the calculation:
crystal system	monoclinic
formation energy	180	meV per atom
magnetization	0.577	μB per atom
energy above the lowest structure with this stoichiometry	60	meV/atom

Geometry as POSCAR:
```
FeNiC
1.0
3.9052 0.0000 0.0000
0.0000 2.9359 0.0000
-0.1328 0.0000 4.7833
Fe Ni C
2 2 2
Cartesian
0.0000 0.0000 0.0000 Fe
1.1315 1.4679 3.0067 Fe
1.9553 1.4679 0.6159 Ni
3.0861 0.0000 2.3695 Ni
0.0468 1.4679 1.3312 C
1.9064 0.0000 4.0151 C
```